[1]
Computed, not measured: Ga5IrRh4 after structural relaxation at the PBE-GGA level of DFT.

Output
ΔE_f: -0.63 eV/atom
space group: P4/mmm

a = 3.042 Å, b = 3.042 Å, c = 15.212 Å
α = 90.00°, β = 90.00°, γ = 90.00°
Sites, in units of the cell vectors:
Ga: 0.500 0.500 0.500
Ga: 0.500 0.500 0.898
Ga: 0.500 0.500 0.301
Ga: 0.500 0.500 0.699
Ga: 0.500 0.500 0.102
Rh: 0.000 0.000 0.201
Rh: 0.000 0.000 0.799
Rh: 0.000 0.000 0.600
Rh: 0.000 0.000 0.400
Ir: 0.000 0.000 0.000

=====

[2]
Computed, not measured: Ga3IrRh6 after structural relaxation at the PBE-GGA level of DFT.

Output
ΔE_f: -0.36 eV/atom
space group: P2_1/m

a = 4.003 Å, b = 8.126 Å, c = 8.758 Å
α = 96.25°, β = 90.00°, γ = 90.00°
Sites, in units of the cell vectors:
Ga: 0.250 0.756 0.973
Ga: 0.750 0.244 0.027
Ga: 0.750 0.454 0.606
Ga: 0.250 0.354 0.816
Ga: 0.250 0.546 0.394
Ga: 0.750 0.646 0.184
Rh: 0.750 0.734 0.481
Rh: 0.750 0.359 0.317
Rh: 0.250 0.147 0.215
Rh: 0.750 0.169 0.716
Rh: 0.250 0.266 0.519
Rh: 0.250 0.831 0.284
Rh: 0.250 0.057 0.902
Rh: 0.250 0.458 0.106
Rh: 0.250 0.641 0.683
Rh: 0.750 0.943 0.098
Rh: 0.750 0.853 0.785
Rh: 0.750 0.542 0.894
Ir: 0.250 0.954 0.594
Ir: 0.750 0.046 0.406